Record 1
! Sc2AlRe, relaxed, DFT PBE-GGA; values from VASP
&SYSTEM
  ibrav = 0, nat = 4, ntyp = 3
/
ATOMIC_SPECIES
Re 186.21 Re.upf
Al 26.98 Al.upf
Sc 44.96 Sc.upf
CELL_PARAMETERS angstrom
9.5387 0.0001 0.0001
9.0442 3.0314 0.0001
9.0442 1.4754 2.6481
ATOMIC_POSITIONS crystal
Re 0.7548 0.7548 0.7548
Al 0.4904 0.4904 0.4904
Sc 0.2430 0.2430 0.2430
Sc 0.0118 0.0118 0.0118
! Space-group type: R3m
! Magnetic moment, μB/atom: 0.001
! Mass density, Mg/m³: 6.57
! Formation energy, eV per atom: 0.09


Record 2
! Sc2AlRe, relaxed, DFT PBE-GGA; values from VASP
&SYSTEM
  ibrav = 0, nat = 4, ntyp = 3
/
ATOMIC_SPECIES
Re 186.21 Re.upf
Sc 44.96 Sc.upf
Al 26.98 Al.upf
CELL_PARAMETERS angstrom
4.4657 0.0000 0.0000
0.0000 4.4652 0.0000
0.0000 0.0000 3.6198
ATOMIC_POSITIONS crystal
Re 0.0000 0.5000 0.5000
Sc 0.0000 0.0000 0.0000
Sc 0.5000 0.5000 0.0000
Al 0.5000 0.0000 0.5000
! Space-group type: P4/mmm
! Magnetic moment, μB/atom: 0.000
! Mass density, Mg/m³: 6.97
! Formation energy, eV per atom: -0.23


Record 3
! ScAl2Re, relaxed, DFT PBE-GGA; values from VASP
&SYSTEM
  ibrav = 0, nat = 4, ntyp = 3
/
ATOMIC_SPECIES
Al 26.98 Al.upf
Re 186.21 Re.upf
Sc 44.96 Sc.upf
CELL_PARAMETERS angstrom
-1.0721 4.1944 0.2956
-1.8738 -0.6288 2.1260
3.0671 0.4812 4.2964
ATOMIC_POSITIONS crystal
Al 0.0000 0.1637 0.9935
Re 0.0000 0.4878 0.4605
Sc 0.5000 0.7417 0.7726
Al 0.5000 0.1068 0.2734
! Space-group type: Pm
! Magnetic moment, μB/atom: 0.000
! Mass density, Mg/m³: 7.24
! Formation energy, eV per atom: -0.20


Record 4
! ScAl2Re, relaxed, DFT PBE-GGA; values from VASP
&SYSTEM
  ibrav = 0, nat = 4, ntyp = 3
/
ATOMIC_SPECIES
Re 186.21 Re.upf
Sc 44.96 Sc.upf
Al 26.98 Al.upf
CELL_PARAMETERS angstrom
3.8023 1.1033 2.1082
-0.1354 1.5352 4.2124
1.5189 -2.5471 3.3652
ATOMIC_POSITIONS crystal
Re 0.5000 0.5000 0.5000
Sc 0.0000 0.0000 0.0000
Al 0.2500 0.2500 0.2500
Al 0.7500 0.7500 0.7500
! Space-group type: Fm-3m
! Magnetic moment, μB/atom: 0.000
! Mass density, Mg/m³: 7.42
! Formation energy, eV per atom: -0.28


Record 5
! ScAl3Re, relaxed, DFT PBE-GGA; values from VASP
&SYSTEM
  ibrav = 0, nat = 5, ntyp = 3
/
ATOMIC_SPECIES
Sc 44.96 Sc.upf
Re 186.21 Re.upf
Al 26.98 Al.upf
CELL_PARAMETERS angstrom
-4.5090 1.3597 0.3639
-0.9855 -2.1777 -4.0742
-1.0050 -3.9651 2.3624
ATOMIC_POSITIONS crystal
Sc 0.5000 0.5000 0.5000
Re 0.0000 0.0000 0.0000
Al 0.0000 0.0000 0.5000
Al 0.0000 0.5000 0.0000
Al 0.5000 0.0000 0.0000
! Space-group type: Pm-3m
! Magnetic moment, μB/atom: 0.000
! Mass density, Mg/m³: 4.92
! Formation energy, eV per atom: 0.11
! Energy above the most stable polymorph in this dataset, meV per atom: 0


Record 6
! ScAl2Re, relaxed, DFT PBE-GGA; values from VASP
&SYSTEM
  ibrav = 0, nat = 4, ntyp = 3
/
ATOMIC_SPECIES
Re 186.21 Re.upf
Sc 44.96 Sc.upf
Al 26.98 Al.upf
CELL_PARAMETERS angstrom
-3.7367 1.0585 2.6438
0.5302 -2.9560 3.6131
3.2016 2.9952 -1.6888
ATOMIC_POSITIONS crystal
Re 0.2500 0.7500 0.5000
Sc 0.7500 0.2500 0.5000
Al 0.5000 0.5000 0.0000
Al 0.0000 0.0000 0.0000
! Space-group type: I4/mmm
! Magnetic moment, μB/atom: 0.000
! Mass density, Mg/m³: 7.38
! Formation energy, eV per atom: -0.31


Record 7
! ScAl2Re, relaxed, DFT PBE-GGA; values from VASP
&SYSTEM
  ibrav = 0, nat = 4, ntyp = 3
/
ATOMIC_SPECIES
Al 26.98 Al.upf
Re 186.21 Re.upf
Sc 44.96 Sc.upf
CELL_PARAMETERS angstrom
4.9902 0.0144 0.0000
-1.8845 4.6207 0.0000
0.0000 0.0000 2.8218
ATOMIC_POSITIONS crystal
Al 0.0000 0.0000 0.0000
Re 0.5000 0.0000 0.5000
Al 0.5000 0.5000 0.0000
Sc 0.0000 0.5000 0.5000
! Space-group type: Cmmm
! Magnetic moment, μB/atom: 0.000
! Mass density, Mg/m³: 7.27
! Formation energy, eV per atom: -0.15


Record 8
! Sc2AlRe, relaxed, DFT PBE-GGA; values from VASP
&SYSTEM
  ibrav = 0, nat = 8, ntyp = 3
/
ATOMIC_SPECIES
Sc 44.96 Sc.upf
Re 186.21 Re.upf
Al 26.98 Al.upf
CELL_PARAMETERS angstrom
3.9338 0.0000 0.0000
0.0000 3.9338 0.0000
1.9669 1.9669 9.8709
ATOMIC_POSITIONS crystal
Sc 0.1127 0.6250 0.2500
Sc 0.8750 0.8873 0.7500
Re 0.0000 0.0000 0.0000
Al 0.5000 0.5000 0.0000
Sc 0.6373 0.1250 0.2500
Re 0.7500 0.2500 0.5000
Al 0.2500 0.7500 0.5000
Sc 0.3750 0.3627 0.7500
! Space-group type: I-42d
! Magnetic moment, μB/atom: 0.058
! Mass density, Mg/m³: 6.59
! Formation energy, eV per atom: 0.50